# 1
## Li5Co4NiO10 (meta-GGA SCAN)

Data for a PBEsol-optimized structure of Li5Co4NiO10.

```
Li5Co4NiO10
1.0
4.6658 -1.4043 0.0000
4.6658 1.4043 0.0000
-2.6394 0.0000 12.1588
Li Co Ni O
5 4 1 10
direct
0.0000 0.0000 0.0000
0.1989 0.1989 0.3931
0.3976 0.3976 0.8025
0.6024 0.6024 0.1975
0.8011 0.8011 0.6069
0.0962 0.0962 0.7032
0.3010 0.3010 0.0988
0.6990 0.6990 0.9012
0.9038 0.9038 0.2968
0.5000 0.5000 0.5000
0.0645 0.0645 0.8499
0.1333 0.1333 0.5598
0.2688 0.2688 0.2449
0.3342 0.3342 0.9527
0.4596 0.4596 0.6573
0.5404 0.5404 0.3427
0.6658 0.6658 0.0473
0.7312 0.7312 0.7551
0.8667 0.8667 0.4402
0.9355 0.9355 0.1501
```

- Theoretical density: 5.10 Mg/m³
- Formation energy without anion corrections: -1828 meV/atom
- SG: C2/m (12)
- Raw total energy: -9.810 eV per atom
- N(E_F): 0.059 states/eV per atom



# 2
## YPb3Au (meta-GGA SCAN)

Data for a PBEsol-optimized structure of YPb3Au.

```
YPb3Au
1.0
5.7369 0.0000 0.0000
0.0000 5.7369 0.0000
0.0000 0.0000 5.7369
Y Pb Au
1 3 1
direct
0.0000 0.0000 0.0000
0.0000 0.0000 0.5000
0.0000 0.5000 0.0000
0.5000 0.0000 0.0000
0.5000 0.5000 0.5000
```

- Theoretical density: 7.98 Mg/m³
- SG: Pm-3m (221)
- Raw total energy: -64.181 eV per atom
- N(E_F): 0.964 states/eV per atom
- ΔH_f (0 K): 3.44 eV/f.u.



# 3
## Zr2FeP (meta-GGA SCAN)

Data for a PBEsol-optimized structure of Zr2FeP.

```
Zr2FeP
1.0
3.3410 0.0000 0.0000
0.0000 3.3410 0.0000
0.0000 0.0000 5.7885
Zr Fe P
2 1 1
direct
0.0000 0.0000 0.2478
0.0000 0.0000 0.7522
0.5000 0.5000 0.5000
0.5000 0.5000 0.0000
```

- Theoretical density: 6.92 Mg/m³
- SG: P4/mmm (123)
- Raw total energy: -23.125 eV per atom
- N(E_F): 0.534 states/eV per atom
- ΔH_f (0 K): -2.57 eV/f.u.